YGe12Rh4 | GGA-PBE | relaxed

Cell: 7.480 7.480 7.480 Å, 109.47 109.47 109.47°
Fractional coordinates of all 17 atoms:
Y  0.000  0.000  0.000
Ge  0.153  0.501  0.348
Ge  0.153  0.804  0.652
Ge  0.196  0.348  0.847
Ge  0.348  0.153  0.501
Ge  0.348  0.847  0.196
Ge  0.499  0.652  0.847
Ge  0.501  0.348  0.153
Ge  0.652  0.153  0.804
Ge  0.652  0.847  0.499
Ge  0.804  0.652  0.153
Ge  0.847  0.196  0.348
Ge  0.847  0.499  0.652
Rh  0.000  0.000  0.500
Rh  0.000  0.500  0.000
Rh  0.500  0.000  0.000
Rh  0.500  0.500  0.500

Summary:
DFT total energy (eV/cell): -95.7
Space-group type: Im-3
Energy of formation from the pure elements (eV per atom): -0.259